Computed, not measured: a relaxed structure of SrNdNi2P2 at the PBE level of DFT.

a b c (Å): 3.9646 3.9646 8.4835
angles (deg): 90.00 90.00 120.00
Closest atoms and distances in Å follow each position.
Space group P-3m1 (No. 164)
Symmetry-distinct sites (fractional):
Sr 0.0000 0.0000 0.0000 [1 per cell]  6 P 3.19, 6 Ni 3.20
Nd 0.0000 0.0000 0.5000 [1 per cell]  6 Ni 3.04, 6 P 3.05
Ni 0.3333 0.6667 0.2642 [2 per cell]  3 P 2.29
P 0.3333 0.6667 0.7374 [2 per cell]  3 Ni 2.29

## Properties
DFT formation energy: -1.0164 eV/atom
Uncorrected energy: -5.82 eV per atom
Total moment: 0.000 μB/f.u.